# 1
This record from Alexandria describes crystalline Na3GeTe at its relaxed geometry. The functional is PBE-GGA.

## Properties
As for the symmetry: Pm-3m, No. 221. The uncorrected formation energy comes out at 0.076 eV/atom. For the total DFT energy (no corrections), the calculation gives -2.27 eV/atom.

```
Na3GeTe
1.0
-2.766 -1.848 -4.461
-0.895 -4.856 2.566
-4.745 1.993 2.116
Ge Na Te
1 3 1
Cartesian
0.000 0.000 0.000
-2.373 0.996 1.058
-1.383 -0.924 -2.231
-0.448 -2.428 1.283
-4.203 -2.355 0.110
```



# 2
This record from Alexandria describes crystalline Ti3NiPt at its relaxed geometry. The functional is PBE-GGA.

## Properties
As for the symmetry: Pm-3m, No. 221. For the total DFT energy (no corrections), the calculation gives -6.47 eV/atom. Its formation energy is 0.636 eV per atom.

```
Ti3NiPt
1.0
-0.693 -4.475 -1.456
4.546 -1.017 0.963
-1.217 -1.252 4.424
Ti Pt Ni
3 1 1
Cartesian
-0.608 -0.626 2.212
2.273 -0.509 0.481
-0.346 -2.237 -0.728
0.000 0.000 0.000
1.318 -3.372 1.965
```



# 3
This record from Alexandria describes crystalline CaAlAu at its relaxed geometry. The functional is PBE-GGA.

## Properties
As for the symmetry: P2_1/m, No. 11. For the total DFT energy (no corrections), the calculation gives -3.68 eV/atom. Its formation energy is -0.670 eV per atom.

```
CaAlAu
1.0
-3.750 1.195 1.925
-3.622 -4.951 -3.983
1.912 -8.244 8.842
Au Ca Al
6 6 6
Cartesian
-3.414 -0.947 1.417
-2.046 -11.052 5.368
-3.075 -5.288 -0.215
-4.574 -7.721 3.360
-0.886 -4.278 3.424
-2.385 -6.711 6.999
-3.938 -4.682 2.714
-0.446 -9.047 7.241
-3.173 -10.390 2.761
-1.522 -7.317 4.070
-2.287 -1.609 4.023
-5.014 -2.952 -0.457
-3.102 -7.610 1.174
-3.676 -8.946 5.871
-1.784 -3.053 0.913
-4.354 -5.308 -2.694
-1.106 -6.691 9.478
-2.358 -4.389 5.610
```



# 4
This record from Alexandria describes crystalline Cu2HgSe2 at its relaxed geometry. The functional is PBE-GGA.

## Properties
As for the symmetry: I4/mmm, No. 139. The uncorrected formation energy comes out at -0.070 eV/atom. For the total DFT energy (no corrections), the calculation gives -3.16 eV/atom.

```
Cu2HgSe2
1.0
3.796 0.000 0.000
0.000 3.796 0.000
1.898 1.898 7.364
Se Cu Hg
2 2 1
Cartesian
1.898 1.898 2.121
3.796 3.796 5.243
3.796 1.898 3.682
1.898 3.796 3.682
0.000 0.000 0.000
```



# 5
This record from Alexandria describes crystalline BaSn2As2 at its relaxed geometry. The functional is PBE-GGA.

## Properties
As for the symmetry: P4/mbm, No. 127. For the total DFT energy (no corrections), the calculation gives -4.11 eV/atom. Its formation energy is -0.267 eV per atom.

```
BaSn2As2
1.0
8.327 0.000 0.000
0.000 8.327 0.000
0.000 0.000 4.076
As Sn Ba
4 4 2
Cartesian
1.070 3.093 0.000
3.093 7.257 0.000
5.234 1.070 0.000
7.257 5.234 0.000
2.980 1.183 2.038
5.347 7.144 2.038
7.144 2.980 2.038
1.183 5.347 2.038
4.164 4.164 0.000
0.000 0.000 0.000
```



# 6
This record from Alexandria describes crystalline RbNb3As at its relaxed geometry. The functional is PBE-GGA.

## Properties
As for the symmetry: Pm-3m, No. 221. For the total DFT energy (no corrections), the calculation gives -4.45 eV/atom. Its formation energy is 2.716 eV per atom.

```
RbNb3As
1.0
4.823 0.000 0.000
0.000 4.823 0.000
0.000 0.000 4.823
Nb As Rb
3 1 1
Cartesian
0.000 0.000 2.412
2.412 0.000 0.000
0.000 2.412 0.000
2.412 2.412 2.412
0.000 0.000 0.000
```



# 7
This record from Alexandria describes crystalline Sr2SmUAs4 at its relaxed geometry. The functional is PBE-GGA.

## Properties
As for the symmetry: P2/m, No. 10. For the total DFT energy (no corrections), the calculation gives -5.89 eV/atom. Its formation energy is -1.143 eV per atom.

```
Sr2SmUAs4
1.0
4.300 0.000 0.000
0.000 7.387 0.128
0.000 -2.583 7.089
Sr U Sm As
2 1 1 4
Cartesian
2.150 -1.291 3.544
0.000 2.402 3.609
2.150 3.694 0.064
0.000 0.000 0.000
2.150 1.319 1.596
2.150 3.486 5.621
0.000 -0.011 5.595
0.000 4.816 1.622
```



# 8
This record from Alexandria describes crystalline DyUSeN2 at its relaxed geometry. The functional is PBE-GGA.

## Properties
As for the symmetry: I4mm, No. 107. The uncorrected formation energy comes out at -1.585 eV/atom. For the total DFT energy (no corrections), the calculation gives -8.79 eV/atom.

```
DyUSeN2
1.0
-1.755 3.240 1.044
-3.094 -1.028 -2.009
0.169 -3.910 5.392
Dy N Se U
1 2 1 1
Cartesian
-3.988 -0.838 2.921
-2.647 -1.882 1.390
-1.977 0.253 2.916
-2.441 1.085 -0.446
-0.731 -0.909 1.591
```



# 9
This record from Alexandria describes crystalline TbYTh2S4 at its relaxed geometry. The functional is PBE-GGA.

## Properties
As for the symmetry: P2/m, No. 10. The uncorrected formation energy comes out at -1.910 eV/atom. For the total DFT energy (no corrections), the calculation gives -7.22 eV/atom.

```
TbYTh2S4
1.0
-2.018 3.400 -0.056
-5.133 -3.100 -3.163
-0.982 -0.467 6.965
S Th Y Tb
4 2 1 1
Cartesian
-5.635 -0.998 2.907
-4.061 -2.423 -0.717
-2.054 -1.145 4.519
-2.498 0.830 0.838
-3.057 -1.784 1.901
-1.500 1.466 3.454
0.000 0.000 0.000
-3.576 0.150 -1.610
```



# 10
This record from Alexandria describes crystalline K2GeTe2 at its relaxed geometry. The functional is PBE-GGA.

## Properties
As for the symmetry: Ibam, No. 72. The uncorrected formation energy comes out at -0.655 eV/atom. For the total DFT energy (no corrections), the calculation gives -3.27 eV/atom.

```
K2GeTe2
1.0
6.759 0.000 -2.906
-1.442 6.641 -3.354
-0.157 0.160 8.948
Te K Ge
4 4 2
Cartesian
3.523 2.715 -1.119
5.620 1.308 3.756
-0.459 5.493 -1.068
1.637 4.086 3.807
0.447 2.185 1.040
2.906 6.426 -2.555
4.713 4.617 1.647
2.254 0.375 5.243
4.348 3.321 -3.857
0.969 3.321 -2.403
```



# 11
This record from Alexandria describes crystalline SrRe2W at its relaxed geometry. The functional is PBE-GGA.

## Properties
As for the symmetry: Imm2, No. 44. For the total DFT energy (no corrections), the calculation gives -8.92 eV/atom. Its formation energy is 0.966 eV per atom.

```
SrRe2W
1.0
-4.435 -3.589 -1.248
1.174 -5.291 -2.175
0.349 3.900 4.332
Re W Sr
2 1 1
Cartesian
0.070 -2.578 0.353
-0.011 -0.029 -0.011
-2.979 -2.395 0.559
-1.622 -4.417 -1.703
```



# 12
This record from Alexandria describes crystalline K2SnAu2 at its relaxed geometry. The functional is PBE-GGA.

## Properties
As for the symmetry: P4/mbm, No. 127. For the total DFT energy (no corrections), the calculation gives -2.81 eV/atom. Its formation energy is -0.259 eV per atom.

```
K2SnAu2
1.0
-4.999 -4.922 -2.306
5.318 -3.783 -3.454
0.818 -2.918 4.455
K Sn Au
4 2 4
Cartesian
1.454 -7.899 -2.182
-1.986 -6.776 -0.815
3.123 -4.847 -0.490
-0.317 -3.724 0.877
0.160 -4.352 -2.880
0.000 0.000 0.000
1.242 -2.048 -1.569
2.775 -5.049 -3.816
-2.456 -3.656 -1.944
-0.923 -6.657 -4.191
```



# 13
This record from Alexandria describes crystalline Li3HfO3 at its relaxed geometry. The functional is PBE-GGA.

## Properties
As for the symmetry: C2/m, No. 12. The uncorrected formation energy comes out at -2.111 eV/atom. For the total DFT energy (no corrections), the calculation gives -6.48 eV/atom.

```
Li3HfO3
1.0
-0.626 5.186 -2.858
-4.304 -1.402 3.868
2.963 2.553 4.121
O Hf Li
6 2 6
Cartesian
1.889 2.395 3.378
-3.856 3.942 1.752
-0.130 3.023 0.459
-0.660 5.423 2.519
-1.307 0.914 2.612
-1.838 3.314 4.672
-0.714 1.197 0.782
-1.254 5.140 4.348
0.026 4.977 0.719
0.198 2.907 2.955
-3.267 0.457 1.971
-1.993 1.360 4.412
-2.165 3.430 2.176
-1.664 3.328 -0.960
```



# 14
This record from Alexandria describes crystalline Li2FeRu at its relaxed geometry. The functional is PBE-GGA.

## Properties
As for the symmetry: I-42d, No. 122. For the total DFT energy (no corrections), the calculation gives -4.74 eV/atom. Its formation energy is 0.654 eV per atom.

```
Li2FeRu
1.0
6.728 0.000 0.000
0.000 6.728 0.000
3.364 3.364 2.416
Li Fe Ru
4 2 2
Cartesian
1.703 5.046 0.604
5.025 1.682 0.604
8.410 8.389 1.812
5.046 5.067 1.812
3.364 6.728 1.208
3.364 3.364 0.000
0.000 0.000 0.000
6.728 3.364 1.208
```



# 15
This record from Alexandria describes crystalline KC2O at its relaxed geometry. The functional is PBE-GGA.

## Properties
As for the symmetry: I4_1/amd, No. 141. The uncorrected formation energy comes out at 1.603 eV/atom. For the total DFT energy (no corrections), the calculation gives -4.52 eV/atom.

```
KC2O
1.0
3.288 0.000 0.000
0.000 3.288 0.000
1.644 1.644 8.312
O C K
2 4 2
Cartesian
1.644 3.288 4.156
1.644 1.644 0.000
1.644 2.466 2.078
1.644 0.822 2.078
2.466 3.288 6.234
4.110 3.288 6.234
0.000 0.000 0.000
3.288 1.644 4.156
```



# 16
This record from Alexandria describes crystalline ScVCoTc at its relaxed geometry. The functional is PBE-GGA.

## Properties
As for the symmetry: F-43m, No. 216. For the total DFT energy (no corrections), the calculation gives -8.45 eV/atom. Its formation energy is -0.219 eV per atom.

```
ScVCoTc
1.0
4.321 0.000 0.000
2.160 3.742 0.000
2.160 1.247 3.528
Tc Sc Co V
1 1 1 1
Cartesian
2.160 1.247 0.882
0.000 0.000 0.000
6.481 3.742 2.646
4.321 2.495 1.764
```



# 17
This record from Alexandria describes crystalline Mg4Ru5 at its relaxed geometry. The functional is PBE-GGA.

## Properties
As for the symmetry: P6_3/mcm, No. 193. For the total DFT energy (no corrections), the calculation gives -5.58 eV/atom. Its formation energy is 0.278 eV per atom.

```
Mg4Ru5
1.0
-1.300 0.952 7.627
-5.972 -1.297 -4.839
0.525 -5.146 0.732
Mg Ru
8 10
Cartesian
-2.175 -3.981 1.534
-4.572 -1.510 1.986
0.262 -2.573 0.366
-1.978 -1.745 -1.526
-3.469 -4.698 -2.581
-0.447 -3.244 5.482
-0.328 -0.950 2.877
0.000 0.000 0.000
-0.751 -0.640 5.360
-4.542 -4.094 2.441
-2.857 0.203 3.472
-1.525 -4.276 -1.005
-3.923 -2.167 -3.102
-4.152 -3.120 -0.318
-4.414 -0.547 -0.684
-0.024 -3.554 2.999
-2.595 -2.371 3.837
-2.204 -1.397 1.078
```



# 18
This record from Alexandria describes crystalline BaTl3Se at its relaxed geometry. The functional is PBE-GGA.

## Properties
As for the symmetry: Pm-3m, No. 221. The uncorrected formation energy comes out at 0.651 eV/atom. For the total DFT energy (no corrections), the calculation gives -1.85 eV/atom.

```
BaTl3Se
1.0
6.437 0.000 0.000
0.000 6.437 0.000
0.000 0.000 6.437
Tl Ba Se
3 1 1
Cartesian
0.000 0.000 3.219
3.219 0.000 0.000
0.000 3.219 0.000
0.000 0.000 0.000
3.219 3.219 3.219
```



# 19
This record from Alexandria describes crystalline Ba8P3I4Br at its relaxed geometry. The functional is PBE-GGA.

## Properties
As for the symmetry: R-3m, No. 166. The uncorrected formation energy comes out at -1.449 eV/atom. For the total DFT energy (no corrections), the calculation gives -3.92 eV/atom.

```
Ba8P3I4Br
1.0
-4.641 -4.969 6.693
5.729 -7.901 -1.894
4.199 8.267 2.249
I Ba P Br
4 8 3 1
Cartesian
-0.221 1.649 4.471
-2.320 -2.485 3.346
2.099 4.133 1.125
0.000 0.000 0.000
-1.677 -5.748 4.581
0.514 -3.401 1.420
6.964 1.144 2.467
2.593 -5.332 4.639
4.773 -1.202 5.628
0.306 -1.844 5.643
2.694 0.729 2.409
4.981 -2.760 1.405
4.964 0.183 0.178
0.544 -6.435 2.399
2.644 -2.302 3.524
2.864 -3.950 -0.947
```



# 20
This record from Alexandria describes crystalline Sm6Er5Tl at its relaxed geometry. The functional is PBE-GGA.

## Properties
As for the symmetry: Immm, No. 71. For the total DFT energy (no corrections), the calculation gives -4.49 eV/atom. Its formation energy is -0.031 eV per atom.

```
Sm6Er5Tl
1.0
-3.181 -3.320 1.985
7.315 -5.048 -3.036
2.986 5.228 7.209
Er Sm Tl
5 6 1
Cartesian
2.124 1.837 6.476
3.560 -1.570 3.079
5.860 -1.595 0.407
4.996 -4.977 -0.318
4.440 1.775 3.767
2.477 -2.487 -0.190
0.161 -2.432 2.508
1.033 0.939 3.226
6.959 -0.708 3.651
4.644 -0.653 6.349
6.087 -4.079 2.933
0.000 0.000 0.000
```